Entry 1:
The following is a DFT calculation (PBEsol) of a geometry-optimized FeAs4Ir structure.

Geometry as POSCAR:
```
FeAs4Ir
1.0
0.000 3.716 3.716
3.716 0.000 3.716
3.716 3.716 0.000
Fe As Ir
1 4 1
direct
0.000 0.000 0.000
0.374 0.374 0.374
0.374 0.374 0.877
0.374 0.877 0.374
0.877 0.374 0.374
0.750 0.750 0.750
```

Results
- Theoretical density: 8.9 g/cm³
- Energy of formation from the pure elements: 94.6 kJ per mole of atoms


Entry 2:
The following is a DFT calculation (PBEsol) of a geometry-optimized FeAsIrN2 structure.

Geometry as POSCAR:
```
FeAsIrN2
1.0
3.675 0.000 0.000
0.000 3.675 0.000
0.000 0.000 5.364
Fe As Ir N
1 1 1 2
direct
0.000 0.000 0.000
0.500 0.500 0.000
0.000 0.000 0.500
0.000 0.500 0.500
0.500 0.000 0.500
```

Results
- Theoretical density: 8.0 g/cm³
- DFT total energy: -0.2647 Ha/atom


Entry 3:
The following is a DFT calculation (PBEsol) of a geometry-optimized FeAsIrRh2 structure.

Geometry as POSCAR:
```
FeAsIrRh2
1.0
4.379 0.000 0.000
0.000 4.379 0.000
0.000 0.000 4.376
Fe As Ir Rh
1 1 1 2
direct
0.000 0.000 0.000
0.500 0.500 0.500
0.000 0.000 0.500
0.000 0.500 0.000
0.500 0.000 0.000
```

Results
- Theoretical density: 10.5 g/cm³
- Energy of formation from the pure elements: 121.0 kJ per mole of atoms


Entry 4:
The following is a DFT calculation (PBEsol) of a geometry-optimized KFe2As2 structure.

Geometry as POSCAR:
```
KFe2As2
1.0
-1.844 1.844 6.895
1.844 -1.844 6.895
1.844 1.844 -6.895
K Fe As
1 2 2
direct
0.000 0.000 0.000
0.250 0.750 0.500
0.750 0.250 0.500
0.350 0.350 0.000
0.650 0.650 0.000
```

Results
- Theoretical density: 5.3 g/cm³
- Energy of formation from the pure elements: -29.0 kJ per mole of atoms


Entry 5:
The following is a DFT calculation (PBEsol) of a geometry-optimized LaFe4As12 structure.

Geometry as POSCAR:
```
LaFe4As12
1.0
-4.121 4.121 4.121
4.121 -4.121 4.121
4.121 4.121 -4.121
La Fe As
1 4 12
direct
0.000 0.000 0.000
0.000 0.000 0.500
0.000 0.500 0.000
0.500 0.000 0.000
0.500 0.500 0.500
0.158 0.502 0.344
0.158 0.814 0.656
0.186 0.344 0.842
0.344 0.158 0.502
0.344 0.842 0.186
0.498 0.656 0.842
0.502 0.344 0.158
0.656 0.158 0.814
0.656 0.842 0.498
0.814 0.656 0.158
0.842 0.186 0.344
0.842 0.498 0.656
```

Results
- Theoretical density: 7.5 g/cm³
- Energy of formation from the pure elements: -46.1 kJ per mole of atoms


Entry 6:
The following is a DFT calculation (PBEsol) of a geometry-optimized La2FeAs structure.

Geometry as POSCAR:
```
La2FeAs
1.0
3.715 0.000 0.000
0.000 3.715 0.000
0.000 0.000 6.860
La Fe As
2 1 1
direct
0.000 0.000 0.248
0.000 0.000 0.752
0.500 0.500 0.500
0.500 0.500 0.000
```

Results
- Theoretical density: 7.2 g/cm³
- Energy of formation from the pure elements: -34.8 kJ per mole of atoms


Entry 7:
The following is a DFT calculation (PBEsol) of a geometry-optimized La2FeAs2 structure.

Geometry as POSCAR:
```
La2FeAs2
1.0
-2.963 2.963 4.075
2.963 -2.963 4.075
2.963 2.963 -4.075
La Fe As
2 1 2
direct
0.250 0.750 0.500
0.750 0.250 0.500
0.000 0.000 0.000
0.284 0.284 0.000
0.716 0.716 0.000
```

Results
- Theoretical density: 5.6 g/cm³
- Energy of formation from the pure elements: -39.7 kJ per mole of atoms


Entry 8:
The following is a DFT calculation (PBEsol) of a geometry-optimized LaFe2AsN structure.

Geometry as POSCAR:
```
LaFe2AsN
1.0
1.916 -5.337 0.000
1.916 5.337 0.000
0.000 0.000 6.821
La Fe As N
2 4 2 2
direct
0.052 0.948 0.750
0.948 0.052 0.250
0.340 0.660 0.555
0.340 0.660 0.945
0.660 0.340 0.055
0.660 0.340 0.445
0.226 0.774 0.250
0.774 0.226 0.750
0.500 0.500 0.000
0.500 0.500 0.500
```

Results
- Theoretical density: 8.1 g/cm³
- DFT total energy: -0.3017 Ha/atom


Entry 9:
The following is a DFT calculation (PBEsol) of a geometry-optimized La4FeAs4Ru3O4 structure.

Geometry as POSCAR:
```
La4FeAs4Ru3O4
1.0
5.732 0.000 0.000
0.000 5.732 0.000
0.000 0.000 8.480
La Fe As Ru O
4 1 4 3 4
direct
0.250 0.250 0.142
0.250 0.750 0.858
0.750 0.250 0.858
0.750 0.750 0.142
0.000 0.000 0.500
0.244 0.244 0.651
0.244 0.756 0.349
0.756 0.244 0.349
0.756 0.756 0.651
0.000 0.500 0.500
0.500 0.000 0.500
0.500 0.500 0.500
0.000 0.000 0.000
0.000 0.500 0.000
0.500 0.000 0.000
0.500 0.500 0.000
```

Results
- Energy above the most stable polymorph in this dataset: 0.000 eV/atom
- Theoretical density: 7.6 g/cm³


Entry 10:
The following is a DFT calculation (PBEsol) of a geometry-optimized La4FeAs4Ru3O4 structure.

Geometry as POSCAR:
```
La4FeAs4Ru3O4
1.0
4.053 0.000 0.000
0.000 4.053 0.000
0.000 0.000 16.891
La Fe As Ru O
4 1 4 3 4
direct
0.000 0.500 0.177
0.000 0.500 0.680
0.500 0.000 0.320
0.500 0.000 0.823
0.000 0.000 0.000
0.000 0.500 0.422
0.000 0.500 0.926
0.500 0.000 0.074
0.500 0.000 0.578
0.000 0.000 0.500
0.500 0.500 0.000
0.500 0.500 0.500
0.000 0.000 0.249
0.000 0.000 0.751
0.500 0.500 0.248
0.500 0.500 0.752
```

Results
- Energy above the most stable polymorph in this dataset: 0.003 eV/atom
- Theoretical density: 7.6 g/cm³


Entry 11:
The following is a DFT calculation (PBEsol) of a geometry-optimized LiFeAs2O7 structure.

Geometry as POSCAR:
```
LiFeAs2O7
1.0
3.331 -4.162 0.000
3.331 4.162 0.000
-1.163 0.000 4.643
Li Fe As O
1 1 2 7
direct
0.000 0.000 0.000
0.379 0.621 0.000
0.493 0.066 0.592
0.934 0.507 0.408
0.092 0.707 0.727
0.108 0.389 0.171
0.293 0.908 0.273
0.361 0.301 0.745
0.611 0.892 0.829
0.699 0.639 0.255
0.795 0.205 0.500
```

Results
- Theoretical density: 4.2 g/cm³
- DFT total energy: -0.2427 Ha/atom


Entry 12:
The following is a DFT calculation (PBEsol) of a geometry-optimized LiFeAsO4 structure.

Geometry as POSCAR:
```
LiFeAsO4
1.0
10.460 0.000 0.000
0.000 6.003 0.000
0.000 0.000 4.878
Li Fe As O
4 4 4 16
direct
0.000 0.000 0.000
0.000 0.500 0.000
0.500 0.000 0.500
0.500 0.500 0.500
0.224 0.250 0.489
0.276 0.750 0.989
0.724 0.250 0.011
0.776 0.750 0.511
0.093 0.750 0.441
0.407 0.250 0.941
0.593 0.750 0.059
0.907 0.250 0.559
0.057 0.250 0.707
0.095 0.750 0.792
0.171 0.528 0.283
0.171 0.972 0.283
0.329 0.028 0.783
0.329 0.472 0.783
0.405 0.250 0.292
0.443 0.750 0.207
0.557 0.250 0.793
0.595 0.750 0.708
0.671 0.528 0.217
0.671 0.972 0.217
0.829 0.028 0.717
0.829 0.472 0.717
0.905 0.250 0.208
0.943 0.750 0.293
```

Results
- Theoretical density: 4.4 g/cm³
- DFT total energy: -0.2447 Ha/atom


Entry 13:
The following is a DFT calculation (PBEsol) of a geometry-optimized MgFeAs2 structure.

Geometry as POSCAR:
```
MgFeAs2
1.0
2.973 0.000 0.000
0.000 2.972 0.000
-0.011 0.000 7.035
Mg Fe As
1 1 2
direct
0.000 0.000 0.000
0.000 0.000 0.500
0.499 0.500 0.296
0.501 0.500 0.704
```

Results
- Energy above the most stable polymorph in this dataset: 0.000 eV/atom
- Theoretical density: 6.1 g/cm³
- Energy of formation from the pure elements: -8.6 kJ per mole of atoms


Entry 14:
The following is a DFT calculation (PBEsol) of a geometry-optimized MgFeAs2 structure.

Geometry as POSCAR:
```
MgFeAs2
1.0
3.424 0.000 0.000
0.000 4.274 0.000
0.000 0.000 4.330
Mg Fe As
1 1 2
direct
0.000 0.000 0.000
0.000 0.500 0.500
0.500 0.000 0.500
0.500 0.500 0.000
```

Results
- Energy above the most stable polymorph in this dataset: 0.187 eV/atom
- Theoretical density: 6.0 g/cm³
- Energy of formation from the pure elements: 9.5 kJ per mole of atoms


Entry 15:
The following is a DFT calculation (PBEsol) of a geometry-optimized MgFeAs2 structure.

Geometry as POSCAR:
```
MgFeAs2
1.0
-2.146 2.146 3.271
2.146 -2.146 3.271
2.146 2.146 -3.271
Mg Fe As
1 1 2
direct
0.000 0.000 0.000
0.500 0.500 0.000
0.250 0.750 0.500
0.750 0.250 0.500
```

Results
- Energy above the most stable polymorph in this dataset: 0.133 eV/atom
- Theoretical density: 6.3 g/cm³
- Energy of formation from the pure elements: 4.3 kJ per mole of atoms


Entry 16:
The following is a DFT calculation (PBEsol) of a geometry-optimized MnFe2As structure.

Geometry as POSCAR:
```
MnFe2As
1.0
3.076 0.000 0.000
0.000 3.076 0.000
0.000 0.000 5.136
Mn Fe As
1 2 1
direct
0.000 0.000 0.000
0.000 0.000 0.500
0.500 0.500 0.744
0.500 0.500 0.245
```

Results
- Theoretical density: 8.3 g/cm³
- Energy of formation from the pure elements: 5.3 kJ per mole of atoms


Entry 17:
The following is a DFT calculation (PBEsol) of a geometry-optimized MnFe2As structure.

Geometry as POSCAR:
```
MnFe2As
1.0
3.711 0.000 0.000
0.000 3.711 0.000
0.000 0.000 3.259
Mn Fe As
1 2 1
direct
0.000 0.000 0.000
0.000 0.500 0.500
0.500 0.000 0.500
0.500 0.500 0.000
```

Results
- Theoretical density: 8.9 g/cm³
- Energy of formation from the pure elements: -4.1 kJ per mole of atoms


Entry 18:
The following is a DFT calculation (PBEsol) of a geometry-optimized Mn2FeAs structure.

Geometry as POSCAR:
```
Mn2FeAs
1.0
1.315 0.759 7.671
-1.315 0.759 7.671
0.000 -1.518 7.671
Mn Fe As
2 1 1
direct
0.249 0.249 0.249
0.751 0.751 0.751
0.500 0.500 0.500
0.000 0.000 0.000
```

Results
- Theoretical density: 8.7 g/cm³
- Energy of formation from the pure elements: 25.2 kJ per mole of atoms


Entry 19:
The following is a DFT calculation (PBEsol) of a geometry-optimized MnFe2As structure.

Geometry as POSCAR:
```
MnFe2As
1.0
-1.444 1.940 3.991
1.444 -1.940 3.991
1.444 1.940 -3.991
Mn Fe As
1 2 1
direct
0.000 0.000 0.000
0.262 0.762 0.500
0.738 0.238 0.500
0.500 0.500 0.000
```

Results
- Theoretical density: 9.0 g/cm³
- Energy of formation from the pure elements: 4.5 kJ per mole of atoms


Entry 20:
The following is a DFT calculation (PBEsol) of a geometry-optimized Mn2FeAs structure.

Geometry as POSCAR:
```
Mn2FeAs
1.0
2.615 0.000 0.000
0.000 3.609 0.000
0.000 0.000 4.882
Mn Fe As
2 1 1
direct
0.000 0.000 0.241
0.000 0.000 0.759
0.500 0.500 0.000
0.500 0.500 0.500
```

Results
- Theoretical density: 8.7 g/cm³
- Energy of formation from the pure elements: 10.0 kJ per mole of atoms